No. 1
VASP calculation (PBEsol) on a geometry-optimized Li2Fe2OF4 structure.

Lattice parameters (Å, degrees): 5.019 5.019 12.735 90.00 90.00 147.48
Fractional positions:
1 Li 0.015 0.985 0.500
2 Li 0.277 0.723 0.604
3 Li 0.723 0.277 0.104
4 Li 0.985 0.015 0.000
5 Fe 0.245 0.755 0.875
6 Fe 0.462 0.538 0.237
7 Fe 0.538 0.462 0.737
8 Fe 0.755 0.245 0.375
9 O 0.177 0.823 0.737
10 O 0.823 0.177 0.237
11 F 0.076 0.924 0.140
12 F 0.080 0.920 0.347
13 F 0.344 0.656 0.024
14 F 0.376 0.624 0.465
15 F 0.624 0.376 0.965
16 F 0.656 0.344 0.524
17 F 0.920 0.080 0.847
18 F 0.924 0.076 0.640

Output
ΔE_f (raw) = -2.0365 eV/atom
Fermi-level density of states = 6.71 states/eV per cell

No. 2
VASP calculation (PBEsol) on a geometry-optimized Nd2Ta3Se2O8 structure.

Lattice parameters (Å, degrees): 9.878 11.749 7.580 90.00 90.00 90.00
Fractional positions:
1 Nd 0.211 0.156 0.000
2 Nd 0.228 0.148 0.500
3 Nd 0.272 0.648 0.000
4 Nd 0.289 0.656 0.500
5 Nd 0.711 0.344 0.500
6 Nd 0.728 0.352 0.000
7 Nd 0.772 0.852 0.500
8 Nd 0.789 0.844 0.000
9 Ta 0.000 0.500 0.286
10 Ta 0.000 0.500 0.714
11 Ta 0.135 0.915 0.250
12 Ta 0.135 0.915 0.750
13 Ta 0.365 0.415 0.250
14 Ta 0.365 0.415 0.750
15 Ta 0.500 0.000 0.214
16 Ta 0.500 0.000 0.786
17 Ta 0.635 0.585 0.250
18 Ta 0.635 0.585 0.750
19 Ta 0.865 0.085 0.250
20 Ta 0.865 0.085 0.750
21 Se 0.019 0.334 0.500
22 Se 0.024 0.360 0.000
23 Se 0.476 0.860 0.500
24 Se 0.481 0.834 0.000
25 Se 0.519 0.166 0.000
26 Se 0.524 0.140 0.500
27 Se 0.976 0.640 0.000
28 Se 0.981 0.666 0.500
29 O 0.058 0.103 0.255
30 O 0.058 0.103 0.745
31 O 0.135 0.950 0.000
32 O 0.151 0.951 0.500
33 O 0.198 0.525 0.265
34 O 0.198 0.525 0.735
35 O 0.214 0.773 0.247
36 O 0.214 0.773 0.753
37 O 0.286 0.273 0.253
38 O 0.286 0.273 0.747
39 O 0.302 0.025 0.235
40 O 0.302 0.025 0.765
41 O 0.349 0.451 0.000
42 O 0.365 0.450 0.500
43 O 0.442 0.603 0.245
44 O 0.442 0.603 0.755
45 O 0.558 0.397 0.245
46 O 0.558 0.397 0.755
47 O 0.635 0.550 0.500
48 O 0.651 0.549 0.000
49 O 0.698 0.975 0.235
50 O 0.698 0.975 0.765
51 O 0.714 0.727 0.253
52 O 0.714 0.727 0.747
53 O 0.786 0.227 0.247
54 O 0.786 0.227 0.753
55 O 0.802 0.475 0.265
56 O 0.802 0.475 0.735
57 O 0.849 0.049 0.500
58 O 0.865 0.050 0.000
59 O 0.942 0.897 0.255
60 O 0.942 0.897 0.745

Output
ΔE_f (raw) = -2.7512 eV/atom

No. 3
VASP calculation (PBEsol) on a geometry-optimized SrCrCl2 structure.

Lattice parameters (Å, degrees): 4.066 4.066 11.359 90.00 90.00 90.00
Fractional positions:
1 Sr 0.000 0.000 0.000
2 Sr 0.500 0.500 0.500
3 Cr 0.000 0.500 0.750
4 Cr 0.500 0.000 0.250
5 Cl 0.000 0.000 0.500
6 Cl 0.000 0.500 0.250
7 Cl 0.500 0.000 0.750
8 Cl 0.500 0.500 0.000

Output
ΔE_f (raw) = -0.7026 eV/atom
Fermi-level density of states = 3.34 states/eV per cell

No. 4
VASP calculation (PBEsol) on a geometry-optimized K2Nb2As2O11 structure.

Lattice parameters (Å, degrees): 9.963 10.569 10.380 90.00 97.34 90.00
Fractional positions:
1 K 0.004 0.000 0.249
2 K 0.240 0.723 0.468
3 K 0.244 0.797 0.925
4 K 0.485 0.581 0.243
5 K 0.515 0.081 0.757
6 K 0.756 0.297 0.075
7 K 0.760 0.223 0.532
8 K 0.996 0.500 0.751
9 Nb 0.061 0.185 0.895
10 Nb 0.065 0.318 0.395
11 Nb 0.357 0.408 0.887
12 Nb 0.358 0.094 0.385
13 Nb 0.642 0.594 0.615
14 Nb 0.643 0.908 0.113
15 Nb 0.935 0.818 0.605
16 Nb 0.939 0.685 0.105
17 As 0.132 0.079 0.606
18 As 0.133 0.424 0.105
19 As 0.386 0.113 0.059
20 As 0.389 0.385 0.561
21 As 0.611 0.885 0.439
22 As 0.614 0.613 0.941
23 As 0.867 0.924 0.895
24 As 0.868 0.579 0.394
25 O 0.041 0.291 0.058
26 O 0.044 0.214 0.560
27 O 0.045 0.960 0.520
28 O 0.049 0.545 0.020
29 O 0.087 0.738 0.205
30 O 0.088 0.762 0.695
31 O 0.134 0.444 0.268
32 O 0.137 0.060 0.770
33 O 0.187 0.313 0.854
34 O 0.189 0.191 0.351
35 O 0.218 0.087 0.030
36 O 0.221 0.412 0.530
37 O 0.291 0.943 0.341
38 O 0.293 0.558 0.837
39 O 0.297 0.081 0.578
40 O 0.299 0.423 0.079
41 O 0.429 0.148 0.222
42 O 0.429 0.349 0.725
43 O 0.453 0.223 0.968
44 O 0.458 0.269 0.478
45 O 0.458 0.969 0.023
46 O 0.459 0.529 0.524
47 O 0.541 0.029 0.476
48 O 0.542 0.469 0.977
49 O 0.542 0.769 0.522
50 O 0.547 0.723 0.032
51 O 0.571 0.648 0.778
52 O 0.571 0.849 0.275
53 O 0.701 0.923 0.921
54 O 0.703 0.581 0.422
55 O 0.707 0.058 0.163
56 O 0.709 0.443 0.659
57 O 0.779 0.912 0.470
58 O 0.782 0.587 0.970
59 O 0.811 0.691 0.649
60 O 0.813 0.813 0.146
61 O 0.863 0.560 0.230
62 O 0.866 0.944 0.732
63 O 0.912 0.262 0.305
64 O 0.913 0.238 0.795
65 O 0.951 0.045 0.980
66 O 0.955 0.460 0.480
67 O 0.956 0.714 0.440
68 O 0.959 0.791 0.942

Output
ΔE_f (raw) = -1.9456 eV/atom
Fermi-level density of states = 0.00 states/eV per cell

No. 5
VASP calculation (PBEsol) on a geometry-optimized Co2HgPt structure.

Lattice parameters (Å, degrees): 2.745 2.745 26.127 90.00 90.00 120.00
Fractional positions:
1 Co 0.000 0.000 0.000
2 Co 0.000 0.000 0.266
3 Co 0.333 0.667 0.667
4 Co 0.333 0.667 0.932
5 Co 0.667 0.333 0.333
6 Co 0.667 0.333 0.599
7 Hg 0.000 0.000 0.755
8 Hg 0.333 0.667 0.422
9 Hg 0.667 0.333 0.088
10 Pt 0.000 0.000 0.519
11 Pt 0.333 0.667 0.186
12 Pt 0.667 0.333 0.852

Output
calculated formation energy = 252 meV/atom
Fermi-level density of states = 10.35 states/eV per cell

No. 6
VASP calculation (PBEsol) on a geometry-optimized Tl2FeRh structure.

Lattice parameters (Å, degrees): 3.930 3.930 9.075 90.00 90.00 90.00
Fractional positions:
1 Tl 0.000 0.000 0.000
2 Tl 0.000 0.500 0.250
3 Tl 0.500 0.000 0.750
4 Tl 0.500 0.500 0.500
5 Fe 0.000 0.000 0.500
6 Fe 0.500 0.500 0.000
7 Rh 0.000 0.500 0.750
8 Rh 0.500 0.000 0.250

Output
calculated formation energy = 449 meV/atom
energy relative to the lowest polymorph listed for this composition = 0.159 eV/atom
Fermi-level density of states = 6.65 states/eV per cell

No. 7
VASP calculation (PBEsol) on a geometry-optimized LiCu2 structure.

Lattice parameters (Å, degrees): 2.471 3.739 7.551 90.00 90.00 90.00
Fractional positions:
1 Li 0.000 0.000 0.000
2 Li 0.500 0.500 0.500
3 Cu 0.000 0.000 0.329
4 Cu 0.000 0.000 0.671
5 Cu 0.500 0.500 0.171
6 Cu 0.500 0.500 0.829

Output
calculated formation energy = -10 meV/atom
Fermi-level density of states = 1.92 states/eV per cell

No. 8
VASP calculation (PBEsol) on a geometry-optimized TlHg5 structure.

Lattice parameters (Å, degrees): 3.428 3.428 12.422 90.00 90.00 90.00
Fractional positions:
1 Tl 0.000 0.000 0.000
2 Hg 0.000 0.000 0.338
3 Hg 0.000 0.000 0.662
4 Hg 0.500 0.500 0.179
5 Hg 0.500 0.500 0.500
6 Hg 0.500 0.500 0.821

Output
calculated formation energy = -8 meV/atom
energy relative to the lowest polymorph listed for this composition = 0.012 eV/atom
Fermi-level density of states = 1.87 states/eV per cell

No. 9
VASP calculation (PBEsol) on a geometry-optimized La5Co3 structure.

Lattice parameters (Å, degrees): 7.894 7.894 6.917 90.00 90.00 120.00
Fractional positions:
1 La 0.000 0.250 0.250
2 La 0.000 0.750 0.750
3 La 0.250 0.000 0.250
4 La 0.250 0.250 0.750
5 La 0.333 0.667 0.000
6 La 0.333 0.667 0.500
7 La 0.667 0.333 0.000
8 La 0.667 0.333 0.500
9 La 0.750 0.000 0.750
10 La 0.750 0.750 0.250
11 Co 0.000 0.376 0.750
12 Co 0.000 0.624 0.250
13 Co 0.376 0.000 0.750
14 Co 0.376 0.376 0.250
15 Co 0.624 0.000 0.250
16 Co 0.624 0.624 0.750

Output
calculated formation energy = -54 meV/atom
Fermi-level density of states = 15.05 states/eV per cell

No. 10
VASP calculation (PBEsol) on a geometry-optimized TiTlTc3 structure.

Lattice parameters (Å, degrees): 4.509 4.509 4.509 90.00 90.00 90.00
Fractional positions:
1 Ti 0.000 0.000 0.000
2 Tl 0.500 0.500 0.500
3 Tc 0.000 0.000 0.500
4 Tc 0.000 0.500 0.000
5 Tc 0.500 0.000 0.000

Output
calculated formation energy = 1385 meV/atom
Fermi-level density of states = 5.79 states/eV per cell

How do the records compare in mass density? In the order shown, they have 4.19, 8.44, 3.72, 3.61, 15.00, 13.45, 6.38, 13.74, 7.75, 9.89 Mg/m³.